VASP calculation (meta-GGA SCAN) on a crystal of Mo3W relaxed with PBEsol.

abc: 5.0009 5.0009 5.0009
angles: 90.00 90.00 90.00
Fractional coordinates of all 8 atoms:
Mo1 0.0000 0.2500 0.5000
Mo2 0.0000 0.7500 0.5000
Mo3 0.2500 0.5000 0.0000
Mo4 0.5000 0.0000 0.2500
Mo5 0.5000 0.0000 0.7500
Mo6 0.7500 0.5000 0.0000
W1 0.0000 0.0000 0.0000
W2 0.5000 0.5000 0.5000

Values from the calculation:
E above lowest polymorph   9.4 kJ/mol of atoms
Volume   15.63 A^3/atom

=====

VASP calculation (meta-GGA SCAN) on a crystal of KBe2I relaxed with PBEsol.

abc: 5.2362 5.2362 5.2362
angles: 60.00 60.00 60.00
Fractional coordinates of all 4 atoms:
K1 0.0000 0.0000 0.0000
Be1 0.2500 0.2500 0.2500
Be2 0.7500 0.7500 0.7500
I1 0.5000 0.5000 0.5000

Values from the calculation:
Uncorrected formation energy   104.5 kJ per mole of atoms
Volume   25.38 A^3/atom

=====

VASP calculation (meta-GGA SCAN) on a crystal of Na2Cu5TeS3O19 relaxed with PBEsol.

abc: 7.3549 11.7315 9.0561
angles: 90.00 113.63 90.00
Fractional coordinates of all 60 atoms:
Na1 0.0000 0.0000 0.0000
Na2 0.0000 0.5000 0.0000
Na3 0.0377 0.2500 0.4616
Na4 0.9623 0.7500 0.5384
Cu1 0.4437 0.6255 0.7196
Cu2 0.4437 0.8745 0.7196
Cu3 0.4754 0.1324 0.7057
Cu4 0.4754 0.3676 0.7057
Cu5 0.5000 0.0000 0.0000
Cu6 0.5000 0.5000 0.0000
Cu7 0.5246 0.6324 0.2943
Cu8 0.5246 0.8676 0.2943
Cu9 0.5563 0.1255 0.2804
Cu10 0.5563 0.3745 0.2804
Te1 0.2108 0.2500 0.9216
Te2 0.7892 0.7500 0.0784
S1 0.1711 0.7500 0.9409
S2 0.1877 0.5364 0.3856
S3 0.1877 0.9636 0.3856
S4 0.8123 0.0364 0.6144
S5 0.8123 0.4636 0.6144
S6 0.8289 0.2500 0.0591
O1 0.0175 0.5759 0.2419
O2 0.0175 0.9241 0.2419
O3 0.0509 0.2500 0.1051
O4 0.1594 0.0752 0.4420
O5 0.1594 0.4248 0.4420
O6 0.2076 0.7500 0.7918
O7 0.2253 0.6266 0.5124
O8 0.2253 0.8734 0.5124
O9 0.2546 0.6451 0.0359
O10 0.2546 0.8549 0.0359
O11 0.3275 0.2500 0.7550
O12 0.3683 0.1256 0.0546
O13 0.3683 0.3744 0.0546
O14 0.3676 0.5240 0.3441
O15 0.3676 0.9760 0.3441
O16 0.3750 0.0128 0.7818
O17 0.3750 0.4872 0.7818
O18 0.4537 0.2500 0.3289
O19 0.4694 0.7500 0.3950
O20 0.5306 0.2500 0.6050
O21 0.5463 0.7500 0.6711
O22 0.6250 0.5128 0.2182
O23 0.6250 0.9872 0.2182
O24 0.6324 0.0240 0.6559
O25 0.6324 0.4760 0.6559
O26 0.6317 0.6256 0.9454
O27 0.6317 0.8744 0.9454
O28 0.6725 0.7500 0.2450
O29 0.7454 0.1451 0.9641
O30 0.7454 0.3549 0.9641
O31 0.7747 0.1266 0.4876
O32 0.7747 0.3734 0.4876
O33 0.7924 0.2500 0.2082
O34 0.8406 0.5752 0.5580
O35 0.8406 0.9248 0.5580
O36 0.9491 0.7500 0.8949
O37 0.9825 0.0759 0.7581
O38 0.9825 0.4241 0.7581

Values from the calculation:
Uncorrected formation energy   -116.1 kJ per mole of atoms
Volume   11.93 A^3/atom

=====

VASP calculation (meta-GGA SCAN) on a crystal of BaAs2 relaxed with PBEsol.

abc: 8.5266 8.5266 8.5266
angles: 148.68 148.68 44.88
Fractional coordinates of all 6 atoms:
Ba1 0.3750 0.6250 0.7500
Ba2 0.6250 0.3750 0.2500
As1 0.0424 0.7924 0.2500
As2 0.2076 0.9576 0.2500
As3 0.7924 0.0424 0.7500
As4 0.9576 0.2076 0.7500

Values from the calculation:
Volume   27.83 A^3/atom

=====

VASP calculation (meta-GGA SCAN) on a crystal of Zr4CuBr relaxed with PBEsol.

abc: 5.6551 5.6551 5.6551
angles: 60.00 60.00 60.00
Fractional coordinates of all 6 atoms:
Zr1 0.1226 0.1226 0.1226
Zr2 0.1226 0.1226 0.6321
Zr3 0.1226 0.6321 0.1226
Zr4 0.6321 0.1226 0.1226
Cu1 0.7500 0.7500 0.7500
Br1 0.5000 0.5000 0.5000

Values from the calculation:
Uncorrected formation energy   64.0 kJ per mole of atoms
Volume   21.31 A^3/atom

=====

VASP calculation (meta-GGA SCAN) on a crystal of Cd2SbPd2 relaxed with PBEsol.

abc: 7.0901 7.0901 3.7143
angles: 90.00 90.00 90.00
Fractional coordinates of all 10 atoms:
Cd1 0.1505 0.3495 0.0000
Cd2 0.3495 0.8495 0.0000
Cd3 0.6505 0.1505 0.0000
Cd4 0.8495 0.6505 0.0000
Sb1 0.0000 0.0000 0.5000
Sb2 0.5000 0.5000 0.5000
Pd1 0.1469 0.6469 0.5000
Pd2 0.3531 0.1469 0.5000
Pd3 0.6469 0.8531 0.5000
Pd4 0.8531 0.3531 0.5000

Values from the calculation:
Uncorrected formation energy   -29.9 kJ per mole of atoms
Volume   18.67 A^3/atom

=====

Number 1: calculated density 12.5 g/cm3, raw total energy -348.0 eV for the cell shown, total moment 0.0 μB per formula unit. Number 2: calculated density 3.0 g/cm3, raw total energy -49.4 eV for the cell shown, total moment 0.0 μB per formula unit. Number 3: calculated density 4.1 g/cm3, raw total energy -610.1 eV for the cell shown, total moment 1.0 μB per formula unit. Number 4: calculated density 5.7 g/cm3, raw total energy -165.2 eV for the cell shown, total moment 0.0 μB per formula unit. Number 5: calculated density 6.6 g/cm3, raw total energy -153.5 eV for the cell shown, total moment 0.0 μB per formula unit. Number 6: calculated density 10.0 g/cm3, raw total energy -330.4 eV for the cell shown, total moment 0.0 μB per formula unit.